A plane-wave DFT calculation with PBEsol was carried out for BaCO3 after structural relaxation.

Output
The total magnetization is 0.0 μB per formula unit. As for the uncorrected formation energy: -2210 meV per atom.

Lattice parameters (Å, degrees): 5.4113 5.4113 7.3791 68.49 68.49 60.00
Closest atoms and distances in Å follow each position.
Element x y z (fractional)
Ba (0.5000, 0.5000, 0.5000)  6 O 2.69
Ba (0.0000, 0.0000, 0.0000)  6 O 2.69
C (0.2500, 0.2500, 0.2500)  3 O 1.30
C (0.7500, 0.7500, 0.7500)  3 O 1.30
O (0.9897, 0.7500, 0.7500)  1 C 1.30
O (0.4897, 0.0103, 0.2500)  1 C 1.30
O (0.7500, 0.5103, 0.7500)  1 C 1.30
O (0.5103, 0.9897, 0.7500)  1 C 1.30
O (0.2500, 0.4897, 0.2500)  1 C 1.30
O (0.0103, 0.2500, 0.2500)  1 C 1.30